Compound: HgWSeBr2
Source: Alexandria
Functional: PBE-GGA
Structure: relaxed

a b c (Å): 5.310 5.310 4.871
angles (deg): 90.00 90.00 90.00
Atoms (fractional coordinates):
Hg 0.000 0.000 0.000
W 0.500 0.500 0.500
Se 0.500 0.500 0.000
Br 0.000 0.500 0.500
Br 0.500 0.000 0.500

Summary:
Crystal system: tetragonal
Formation energy without anion corrections, eV per atom: 0.146
Space group: P4/mmm
Energy above the most stable polymorph in this dataset, meV per atom: 0.0